[1]
DFT (PBE-GGA) results for an optimized crystal structure of CuSnAsSe2.

```
CuSnAsSe2
1.0
5.0469 0.0000 0.0000
0.0000 5.0469 0.0000
0.0000 0.0000 4.5175
As Cu Se Sn
1 1 2 1
Direct
0.0000 0.0000 0.5000
0.0000 0.0000 0.0000
0.5000 0.0000 0.0000
0.0000 0.5000 0.0000
0.5000 0.5000 0.5000
```

Summary:
* formation energy (no corrections): 270 meV/atom
* space-group type: No. 123
* ΔE to the lowest computed polymorph: 0 meV per atom

[2]
DFT (PBE-GGA) results for an optimized crystal structure of SrCuAsSe2.

```
SrCuAsSe2
1.0
-1.1048 4.2806 -2.6189
-4.6132 0.1891 2.2551
1.7452 2.5061 3.3601
Se Cu As Sr
2 1 1 1
Direct
0.0000 0.5000 0.0000
0.5000 0.0000 0.0000
0.0000 0.0000 0.0000
0.0000 0.0000 0.5000
0.5000 0.5000 0.5000
```

Summary:
* formation energy (no corrections): -463 meV/atom
* space-group type: No. 123
* ΔE to the lowest computed polymorph: 0 meV per atom

[3]
DFT (PBE-GGA) results for an optimized crystal structure of SrCuAsSe2.

```
SrCuAsSe2
1.0
-5.6304 -0.1836 -0.8944
-0.5803 -3.5940 4.3911
-0.7066 4.4363 3.5375
Se Sr As Cu
2 1 1 1
Direct
0.0000 0.5000 0.0000
0.5000 0.0000 0.0000
0.0000 0.0000 0.0000
0.0000 0.0000 0.5000
0.5000 0.5000 0.5000
```

Summary:
* formation energy (no corrections): 810 meV/atom
* space-group type: No. 123
* ΔE to the lowest computed polymorph: 1273 meV per atom

Repeat the third record exactly.
DFT (PBE-GGA) results for an optimized crystal structure of SrCuAsSe2.

```
SrCuAsSe2
1.0
-5.6304 -0.1836 -0.8944
-0.5803 -3.5940 4.3911
-0.7066 4.4363 3.5375
Se Sr As Cu
2 1 1 1
Direct
0.0000 0.5000 0.0000
0.5000 0.0000 0.0000
0.0000 0.0000 0.0000
0.0000 0.0000 0.5000
0.5000 0.5000 0.5000
```

Summary:
* formation energy (no corrections): 810 meV/atom
* space-group type: No. 123
* ΔE to the lowest computed polymorph: 1273 meV per atom